i) Computed, not measured: LaBTeN2 after structural relaxation at the PBE level of DFT. Values from VASP.

Structure (Quantum ESPRESSO input):
```
&SYSTEM
  ibrav = 0, nat = 5, ntyp = 4
/
ATOMIC_SPECIES
N 14.01 N.upf
La 138.91 La.upf
B 10.81 B.upf
Te 127.60 Te.upf
CELL_PARAMETERS angstrom
4.2404 0.0000 0.0000
0.0000 4.2404 0.0000
0.0000 0.0000 4.4148
ATOMIC_POSITIONS angstrom
N 2.1202 0.0000 0.0000
N 0.0000 2.1202 0.0000
La 2.1202 2.1202 2.2074
B 0.0000 0.0000 0.0000
Te 0.0000 0.0000 2.2074
```

density: 6.39 g/cm3
Fermi-level density of states: 3.315 states/eV per cell

=====

ii) Computed, not measured: LaBTeN2 after structural relaxation at the PBE level of DFT. Values from VASP.

Structure (Quantum ESPRESSO input):
```
&SYSTEM
  ibrav = 0, nat = 5, ntyp = 4
/
ATOMIC_SPECIES
Te 127.60 Te.upf
B 10.81 B.upf
N 14.01 N.upf
La 138.91 La.upf
CELL_PARAMETERS angstrom
-1.6992 3.3715 -1.5232
-3.0150 -2.2334 -1.5801
-3.7557 0.8207 6.0061
ATOMIC_POSITIONS angstrom
Te -1.8779 0.4104 3.0031
B -4.2349 0.9794 1.4514
N -0.8496 1.6858 -0.7616
N -1.5075 -1.1167 -0.7900
La 0.0000 0.0000 0.0000
```

density: 4.29 g/cm3
Fermi-level density of states: 3.459 states/eV per cell

=====

Result of the stability comparison: i) is the most stable of them.